No. 1
A plane-wave DFT calculation with PBE was carried out for a relaxed NdSc2Cu2Si2 crystal. Values from VASP.

Geometry as Quantum ESPRESSO input:
```
&SYSTEM
  ibrav = 0, nat = 7, ntyp = 4
/
ATOMIC_SPECIES
Nd 144.24 Nd.upf
Sc 44.96 Sc.upf
Cu 63.55 Cu.upf
Si 28.09 Si.upf
ATOMIC_POSITIONS crystal
Nd 0.000 0.000 0.000
Sc 0.132 0.132 0.132
Sc 0.868 0.868 0.868
Cu 0.415 0.415 0.415
Cu 0.585 0.585 0.585
Si 0.252 0.252 0.252
Si 0.748 0.748 0.748
CELL_PARAMETERS angstrom
2.099 1.212 8.674
-2.099 1.212 8.674
0.000 -2.424 8.674
```

Summary:
**E_form (uncorrected)**: -356 kJ/mol of formula units
**Final energy**: -5.736 eV/atom
**Total magnetic moment**: 0.0 Bohr magnetons per cell


No. 2
A plane-wave DFT calculation with PBE was carried out for a relaxed LaY4Tm2 crystal. Values from VASP.

Geometry as Quantum ESPRESSO input:
```
&SYSTEM
  ibrav = 0, nat = 7, ntyp = 3
/
ATOMIC_SPECIES
La 138.91 La.upf
Y 88.91 Y.upf
Tm 168.93 Tm.upf
ATOMIC_POSITIONS crystal
La 0.000 0.000 0.000
Y 0.294 0.294 0.705
Y 0.360 0.360 0.171
Y 0.640 0.640 0.829
Y 0.706 0.706 0.295
Tm 0.071 0.071 0.432
Tm 0.929 0.929 0.568
CELL_PARAMETERS angstrom
8.339 -1.776 0.000
8.339 1.776 0.000
-4.261 0.000 7.667
```

Summary:
**Final energy**: -5.649 eV/atom
**Distance to the lowest polymorph of the same formula**: 0.0 kJ per mole of atoms
**Total magnetic moment**: 0.0 Bohr magnetons per cell
**Formation energy**: 0.03 eV per atom


No. 3
A plane-wave DFT calculation with PBE was carried out for a relaxed ZrAlAu3 crystal. Values from VASP.

Geometry as Quantum ESPRESSO input:
```
&SYSTEM
  ibrav = 0, nat = 5, ntyp = 3
/
ATOMIC_SPECIES
Zr 91.22 Zr.upf
Al 26.98 Al.upf
Au 196.97 Au.upf
ATOMIC_POSITIONS crystal
Zr 0.000 0.000 0.000
Al 0.500 0.500 0.500
Au 0.000 0.000 0.500
Au 0.000 0.500 0.000
Au 0.500 0.000 0.000
CELL_PARAMETERS angstrom
5.283 0.000 0.000
0.000 5.283 0.000
0.000 0.000 5.283
```

Summary:
**Final energy**: -3.726 eV/atom
**Distance to the lowest polymorph of the same formula**: 110.6 kJ per mole of atoms
**Total magnetic moment**: 0.0 Bohr magnetons per cell
**Formation energy**: 0.70 eV per atom


No. 4
A plane-wave DFT calculation with PBE was carried out for a relaxed Sr3Zn2GaAg6 crystal. Values from VASP.

Geometry as Quantum ESPRESSO input:
```
&SYSTEM
  ibrav = 0, nat = 12, ntyp = 4
/
ATOMIC_SPECIES
Sr 87.62 Sr.upf
Zn 65.41 Zn.upf
Ga 69.72 Ga.upf
Ag 107.87 Ag.upf
ATOMIC_POSITIONS crystal
Sr 0.000 0.000 0.000
Sr 0.333 0.667 0.607
Sr 0.667 0.333 0.393
Zn 0.333 0.667 0.031
Zn 0.667 0.333 0.969
Ga 0.000 0.000 0.500
Ag 0.175 0.349 0.277
Ag 0.175 0.825 0.277
Ag 0.349 0.175 0.723
Ag 0.651 0.825 0.277
Ag 0.825 0.175 0.723
Ag 0.825 0.651 0.723
CELL_PARAMETERS angstrom
6.054 0.000 0.000
-3.027 5.243 0.000
0.000 0.000 9.326
```

Summary:
**Final energy**: -2.422 eV/atom
**Total magnetic moment**: 0.0 Bohr magnetons per cell
**Formation energy**: -0.11 eV per atom


No. 5
A plane-wave DFT calculation with PBE was carried out for a relaxed Ti2CoI crystal. Values from VASP.

Geometry as Quantum ESPRESSO input:
```
&SYSTEM
  ibrav = 0, nat = 8, ntyp = 3
/
ATOMIC_SPECIES
Ti 47.87 Ti.upf
Co 58.93 Co.upf
I 126.90 I.upf
ATOMIC_POSITIONS crystal
Ti 0.039 0.625 0.914
Ti 0.375 0.289 0.414
Ti 0.711 0.125 0.086
Ti 0.875 0.961 0.586
Co 0.000 0.000 0.000
Co 0.750 0.250 0.500
I 0.250 0.750 0.500
I 0.500 0.500 0.000
CELL_PARAMETERS angstrom
-2.939 2.939 5.572
2.939 -2.939 5.572
2.939 2.939 -5.572
```

Summary:
**E_form (uncorrected)**: 174 kJ/mol of formula units
**Final energy**: -5.662 eV/atom
**Distance to the lowest polymorph of the same formula**: 8.4 kJ per mole of atoms
**Total magnetic moment**: 2.1 Bohr magnetons per cell


No. 6
A plane-wave DFT calculation with PBE was carried out for a relaxed Sm3Dy2Hg2 crystal. Values from VASP.

Geometry as Quantum ESPRESSO input:
```
&SYSTEM
  ibrav = 0, nat = 7, ntyp = 3
/
ATOMIC_SPECIES
Sm 150.36 Sm.upf
Dy 162.50 Dy.upf
Hg 200.59 Hg.upf
ATOMIC_POSITIONS crystal
Sm 0.000 0.000 0.000
Sm 0.142 0.858 0.000
Sm 0.858 0.142 0.000
Dy 0.290 0.710 0.500
Dy 0.710 0.290 0.500
Hg 0.429 0.571 0.500
Hg 0.571 0.429 0.500
CELL_PARAMETERS angstrom
2.455 -11.655 0.000
2.455 11.655 0.000
0.000 0.000 3.523
```

Summary:
**Final energy**: -3.537 eV/atom
**Distance to the lowest polymorph of the same formula**: 12.3 kJ per mole of atoms
**Total magnetic moment**: 0.2 Bohr magnetons per cell
**Formation energy**: -0.11 eV per atom


Which formula does entry 1 have?
NdSc2Cu2Si2


Repeat the sixth record exactly.
A plane-wave DFT calculation with PBE was carried out for a relaxed Sm3Dy2Hg2 crystal. Values from VASP.

Geometry as Quantum ESPRESSO input:
```
&SYSTEM
  ibrav = 0, nat = 7, ntyp = 3
/
ATOMIC_SPECIES
Sm 150.36 Sm.upf
Dy 162.50 Dy.upf
Hg 200.59 Hg.upf
ATOMIC_POSITIONS crystal
Sm 0.000 0.000 0.000
Sm 0.142 0.858 0.000
Sm 0.858 0.142 0.000
Dy 0.290 0.710 0.500
Dy 0.710 0.290 0.500
Hg 0.429 0.571 0.500
Hg 0.571 0.429 0.500
CELL_PARAMETERS angstrom
2.455 -11.655 0.000
2.455 11.655 0.000
0.000 0.000 3.523
```

Summary:
**Final energy**: -3.537 eV/atom
**Distance to the lowest polymorph of the same formula**: 12.3 kJ per mole of atoms
**Total magnetic moment**: 0.2 Bohr magnetons per cell
**Formation energy**: -0.11 eV per atom